VASP calculation (GGA-PBE) on a relaxed CoAg3 crystal.

Cell lengths 2.8274, 2.8274, 9.4151 Å; angles 90.00, 90.00, 120.00 degrees
Closest atoms and distances in Å follow each position.
Positions (direct):
Ag (0.0000, 0.0000, 0.9848)  3 Co 2.75, 9 Ag 2.83-2.98
Ag (0.0000, 0.0000, 0.5152)  3 Co 2.75, 9 Ag 2.83-2.98
Ag (0.3333, 0.6667, 0.2500)  12 Ag 2.83-2.98
Co (0.3333, 0.6667, 0.7500)  6 Ag 2.75, 6 Co 2.83

Calculated values
The value obtained for the formation energy from the elements is 0.285 eV per atom. The total energy comes out at -3.630 eV per atom. The value obtained for the density is 9745 kg/m3.


VASP calculation (GGA-PBE) on a relaxed SrErIn crystal.

Cell lengths 5.0702, 5.0702, 8.2059 Å; angles 90.00, 90.00, 90.00 degrees
Closest atoms and distances in Å follow each position.
Positions (direct):
Sr (0.0000, 0.5000, 0.8541)  5 In 3.43-3.73
Sr (0.5000, 0.0000, 0.1459)  5 In 3.43-3.73
Er (0.5000, 0.5000, 0.5000)  4 In 3.15
Er (0.0000, 0.0000, 0.5000)  4 In 3.15
In (0.0000, 0.5000, 0.2723)  4 Er 3.15, 1 Sr 3.43
In (0.5000, 0.0000, 0.7277)  4 Er 3.15, 1 Sr 3.43

Calculated values
The value obtained for the formation energy from the elements is -0.305 eV per atom. The total energy comes out at -3.299 eV per atom. The excess energy over the best structure of this formula in the dataset comes out at 0 meV/atom. The value obtained for the density is 5820 kg/m3.


Which value of density does entry 1 give?
9745 kg/m3


formation energy from the elements of number 1 (CoAg3)?
0.285 eV per atom


Which of these has the lowest density?
SrErIn


Look up the density of the second one.
5820 kg/m3